# 1
DFT (PBE) results for a relaxed Rb2LaPaS4 crystal. Values from VASP.

The space group is P2/m. The value obtained for the total magnetization is 1.95 Bohr magnetons per cell. Its volume is 29.41 A^3/atom. The value obtained for the raw formation energy is -1646 meV per atom.

Cell and atoms, written as Quantum ESPRESSO input:
```
&SYSTEM
  ibrav = 0, nat = 8, ntyp = 4
/
ATOMIC_SPECIES
Rb 85.47 Rb.upf
La 138.91 La.upf
Pa 231.04 Pa.upf
S 32.06 S.upf
ATOMIC_POSITIONS angstrom
Rb 0.0000 0.0000 0.0000
Rb 3.6474 2.0814 0.0000
La -1.1942 2.0814 3.8738
Pa 2.4533 0.0000 3.8738
S 0.1390 0.0000 5.4193
S 1.3158 2.0814 2.3588
S 3.5908 2.0814 5.3888
S 4.7676 0.0000 2.3283
CELL_PARAMETERS angstrom
7.2949 0.0000 0.0000
0.0000 4.1628 0.0000
-2.3883 0.0000 7.7476
```

=====

# 2
DFT (PBE) results for a relaxed Hf6NbBi2 crystal. Values from VASP.

The space group is P2_1/c. The value obtained for the total magnetization is 0.00 Bohr magnetons per cell. The calculation puts the final energy at -8.47 eV/atom. Its volume is 23.27 A^3/atom.

Cell and atoms, written as Quantum ESPRESSO input:
```
&SYSTEM
  ibrav = 0, nat = 18, ntyp = 3
/
ATOMIC_SPECIES
Hf 178.49 Hf.upf
Nb 92.91 Nb.upf
Bi 208.98 Bi.upf
ATOMIC_POSITIONS angstrom
Hf -0.7452 0.5129 2.0928
Hf -3.3861 3.4655 6.8065
Hf 0.4675 5.6693 0.4694
Hf -2.1734 6.2658 5.1831
Hf 2.1935 1.2897 0.2369
Hf -0.4473 2.6886 4.9506
Hf 0.7485 5.2681 4.4769
Hf -1.8924 6.6670 9.1906
Hf 2.4746 1.6910 4.2444
Hf -0.1663 2.2874 8.9581
Hf 3.6872 4.4913 2.6209
Hf 1.0464 7.4438 7.3347
Nb 0.1506 0.0000 4.7137
Nb 2.7915 3.9784 0.0000
Bi -1.7999 0.7639 6.8926
Bi 0.8410 3.2144 2.1788
Bi -0.5399 4.7423 7.2486
Bi 2.1010 7.1928 2.5349
CELL_PARAMETERS angstrom
5.5829 0.0000 0.0000
0.0000 7.9567 0.0000
-5.2818 0.0000 9.4275
```

=====

# 3
DFT (PBE) results for a relaxed SmEuYTm crystal. Values from VASP.

The space group is F-43m. The value obtained for the total magnetization is 32.32 Bohr magnetons per cell. The calculation puts the final energy at -6.33 eV/atom. Its volume is 33.88 A^3/atom.

Cell and atoms, written as Quantum ESPRESSO input:
```
&SYSTEM
  ibrav = 0, nat = 16, ntyp = 4
/
ATOMIC_SPECIES
Sm 150.36 Sm.upf
Eu 151.96 Eu.upf
Y 88.91 Y.upf
Tm 168.93 Tm.upf
ATOMIC_POSITIONS angstrom
Sm 0.0000 0.0000 0.0000
Sm 0.0000 4.0769 4.0769
Sm 4.0769 0.0000 4.0769
Sm 4.0769 4.0769 0.0000
Eu 2.0385 2.0385 6.1154
Eu 2.0385 6.1154 2.0385
Eu 6.1154 2.0385 2.0385
Eu 6.1154 6.1154 6.1154
Y 0.0000 0.0000 4.0769
Y 0.0000 4.0769 0.0000
Y 4.0769 0.0000 0.0000
Y 4.0769 4.0769 4.0769
Tm 2.0385 2.0385 2.0385
Tm 2.0385 6.1154 6.1154
Tm 6.1154 2.0385 6.1154
Tm 6.1154 6.1154 2.0385
CELL_PARAMETERS angstrom
8.1539 0.0000 0.0000
0.0000 8.1539 0.0000
0.0000 0.0000 8.1539
```

=====

# 4
DFT (PBE) results for a relaxed Ce2AuCl crystal. Values from VASP.

The space group is Pmmm. The value obtained for the total magnetization is 0.49 Bohr magnetons per cell. Its volume is 26.57 A^3/atom. The calculation puts the polymorph energy (0 for the lowest one) at 0 meV per atom. The value obtained for the raw formation energy is -966 meV per atom.

Cell and atoms, written as Quantum ESPRESSO input:
```
&SYSTEM
  ibrav = 0, nat = 4, ntyp = 3
/
ATOMIC_SPECIES
Ce 140.12 Ce.upf
Au 196.97 Au.upf
Cl 35.45 Cl.upf
ATOMIC_POSITIONS angstrom
Ce 0.0000 0.0000 0.0000
Ce 2.0757 2.0865 3.0675
Au 0.0000 0.0000 3.0675
Cl 2.0757 2.0865 0.0000
CELL_PARAMETERS angstrom
4.1513 0.0000 0.0000
0.0000 4.1730 0.0000
0.0000 0.0000 6.1350
```

=====

# 5
DFT (PBE) results for a relaxed TbSmCuRu crystal. Values from VASP.

The space group is Amm2. The value obtained for the total magnetization is 0.00 Bohr magnetons per cell. Its volume is 22.05 A^3/atom. The calculation puts the polymorph energy (0 for the lowest one) at 8 meV per atom.

Cell and atoms, written as Quantum ESPRESSO input:
```
&SYSTEM
  ibrav = 0, nat = 8, ntyp = 4
/
ATOMIC_SPECIES
Tb 158.93 Tb.upf
Sm 150.36 Sm.upf
Cu 63.55 Cu.upf
Ru 101.07 Ru.upf
ATOMIC_POSITIONS angstrom
Tb 0.0000 0.0000 0.0000
Tb 0.0000 1.9441 5.2781
Sm 2.1486 0.0000 7.5869
Sm 2.1486 1.9441 2.3089
Cu 0.0000 0.0000 3.0643
Cu 0.0000 1.9441 8.3424
Ru 2.1486 0.0000 4.6242
Ru 2.1486 1.9441 9.9023
CELL_PARAMETERS angstrom
4.2971 0.0000 0.0000
0.0000 3.8881 0.0000
0.0000 0.0000 10.5562
```

=====

# 6
DFT (PBE) results for a relaxed Y7InS5 crystal. Values from VASP.

The space group is P2_1/m. The value obtained for the total magnetization is 0.00 Bohr magnetons per cell. Its volume is 23.34 A^3/atom. The value obtained for the raw formation energy is -1650 meV per atom.

Cell and atoms, written as Quantum ESPRESSO input:
```
&SYSTEM
  ibrav = 0, nat = 26, ntyp = 3
/
ATOMIC_SPECIES
Y 88.91 Y.upf
In 114.82 In.upf
S 32.06 S.upf
ATOMIC_POSITIONS angstrom
Y 0.0006 5.8917 0.1880
Y 0.0007 12.6194 1.7878
Y 0.0007 22.7307 1.7878
Y 0.0018 4.0463 4.2489
Y 0.0018 7.7371 4.2489
Y 0.0045 14.3885 5.3275
Y 0.0045 20.9616 5.3275
Y 1.9666 2.6051 1.2214
Y 1.9666 9.1782 1.2214
Y 1.9693 15.8297 2.3000
Y 1.9693 19.5204 2.3000
Y 1.9704 0.8361 4.7611
Y 1.9704 10.9473 4.7611
Y 1.9706 17.6751 6.3609
In 0.0014 17.6751 3.9544
In 1.9697 5.8917 2.5945
S 0.0002 15.0579 0.5745
S 0.0002 20.2922 0.5745
S 0.0018 1.6483 2.9657
S 0.0018 10.1350 2.9657
S 1.9660 0.0000 0.0000
S 1.9660 11.7834 0.0000
S 1.9694 13.4317 3.5832
S 1.9694 21.9184 3.5832
S 1.9710 3.2745 5.9745
S 1.9710 8.5088 5.9745
CELL_PARAMETERS angstrom
3.9320 0.0000 0.0000
0.0000 23.5667 0.0000
-1.9609 0.0000 6.5489
```

=====

# 7
DFT (PBE) results for a relaxed Pm5Dy12Hg3 crystal. Values from VASP.

The space group is Ia-3d. The value obtained for the total magnetization is 0.01 Bohr magnetons per cell. The calculation puts the final energy at -3.22 eV/atom. Its volume is 37.45 A^3/atom.

Cell and atoms, written as Quantum ESPRESSO input:
```
&SYSTEM
  ibrav = 0, nat = 80, ntyp = 3
/
ATOMIC_SPECIES
Pm 145.00 Pm.upf
Dy 162.50 Dy.upf
Hg 200.59 Hg.upf
ATOMIC_POSITIONS angstrom
Pm 0.0000 0.0000 0.0000
Pm 4.5410 4.5410 -4.5410
Pm 4.5410 -4.5410 4.5410
Pm 9.0820 0.0000 0.0000
Pm 13.6229 2.2705 0.0000
Pm 9.0820 -4.5410 6.8115
Pm 6.8115 9.0820 -4.5410
Pm 6.8115 0.0000 4.5410
Pm 4.5410 6.8115 0.0000
Pm 9.0820 4.5410 2.2705
Pm -4.5410 4.5410 4.5410
Pm 0.0000 9.0820 0.0000
Pm 0.0000 0.0000 9.0820
Pm 4.5410 4.5410 4.5410
Pm 0.0000 4.5410 6.8115
Pm 4.5410 2.2705 9.0820
Pm 2.2705 9.0820 4.5410
Pm 2.2705 0.0000 13.6229
Pm 0.0000 13.6229 2.2705
Pm -4.5410 6.8115 9.0820
Dy 8.9925 -1.5042 2.7343
Dy 13.7123 -1.8067 3.0368
Dy 2.7343 -0.0894 1.5041
Dy 10.8887 6.0451 -4.6304
Dy 11.8162 0.0894 1.5042
Dy 10.8887 -3.0368 4.6304
Dy 1.5041 2.7343 -0.0894
Dy 12.1188 4.4516 -1.8067
Dy 6.0451 4.6304 -1.8067
Dy 7.5778 2.7343 0.0894
Dy -0.0894 1.5042 2.7343
Dy 4.6304 -1.8067 6.0451
Dy 8.9925 7.5778 -2.7343
Dy 4.6304 1.8067 3.0368
Dy 7.5778 -2.7343 8.9925
Dy 6.0451 -4.6304 10.8887
Dy 3.0368 4.6304 1.8067
Dy 10.5861 6.3477 0.0894
Dy 2.7343 8.9925 -1.5042
Dy 10.8887 3.0368 4.4516
Dy 1.8067 3.0368 4.6304
Dy 2.7343 0.0894 7.5778
Dy 4.6304 10.8887 -3.0368
Dy 8.9925 1.5041 6.3477
Dy 0.0894 7.5778 2.7343
Dy 4.4516 -1.8067 12.1188
Dy 6.3477 8.9925 1.5041
Dy 7.2752 6.0451 4.4516
Dy -1.8067 6.0451 4.6304
Dy 6.3477 0.0894 10.5861
Dy -1.5042 2.7343 8.9925
Dy 6.0451 4.4516 7.2752
Dy 3.0368 13.7123 -1.8067
Dy 1.5041 11.8162 0.0894
Dy 4.4516 7.2752 6.0451
Dy 0.0894 1.5041 11.8162
Dy 4.4516 10.8887 3.0368
Dy 9.1714 7.5778 6.3477
Dy 1.5041 6.3477 8.9925
Dy 3.0368 4.4516 10.8887
Dy -3.0368 4.6304 10.8887
Dy 7.5778 6.3477 9.1714
Dy -1.8067 12.1188 4.4516
Dy -2.7343 8.9925 7.5778
Dy -1.8067 3.0368 13.7123
Dy 6.3477 9.1714 7.5778
Dy -4.6304 10.8887 6.0451
Dy 0.0894 10.5861 6.3477
Hg 4.5410 2.2705 0.0000
Hg 9.0820 4.5410 -2.2705
Hg 2.2705 0.0000 4.5410
Hg 11.3524 0.0000 4.5410
Hg 0.0000 4.5410 2.2705
Hg 4.5410 -2.2705 9.0820
Hg 4.5410 11.3524 0.0000
Hg 9.0820 4.5410 6.8115
Hg -2.2705 9.0820 4.5410
Hg 6.8115 9.0820 4.5410
Hg 0.0000 4.5410 11.3524
Hg 4.5410 6.8115 9.0820
CELL_PARAMETERS angstrom
-9.0820 9.0820 9.0820
9.0820 -9.0820 9.0820
9.0820 9.0820 -9.0820
```

=====

# 8
DFT (PBE) results for a relaxed LaZnRe2 crystal. Values from VASP.

The space group is Cmmm. The value obtained for the total magnetization is 0.01 Bohr magnetons per cell. The calculation puts the final energy at -6.95 eV/atom. Its volume is 18.56 A^3/atom.

Cell and atoms, written as Quantum ESPRESSO input:
```
&SYSTEM
  ibrav = 0, nat = 8, ntyp = 3
/
ATOMIC_SPECIES
La 138.91 La.upf
Zn 65.41 Zn.upf
Re 186.21 Re.upf
ATOMIC_POSITIONS angstrom
La 0.0000 0.0000 0.0000
La 2.9686 4.6480 0.0000
Zn 0.0000 4.6480 0.0000
Zn 2.9686 0.0000 0.0000
Re 1.4843 2.3240 1.3454
Re 1.4843 6.9721 1.3454
Re 4.4528 2.3240 1.3454
Re 4.4528 6.9721 1.3454
CELL_PARAMETERS angstrom
5.9371 0.0000 0.0000
0.0000 9.2961 0.0000
0.0000 0.0000 2.6908
```

=====

# 9
DFT (PBE) results for a relaxed La2TbY2 crystal. Values from VASP.

The space group is C2/c. The value obtained for the total magnetization is 0.00 Bohr magnetons per cell. Its volume is 35.50 A^3/atom. The calculation puts the polymorph energy (0 for the lowest one) at 6 meV per atom.

Cell and atoms, written as Quantum ESPRESSO input:
```
&SYSTEM
  ibrav = 0, nat = 10, ntyp = 3
/
ATOMIC_SPECIES
La 138.91 La.upf
Tb 158.93 Tb.upf
Y 88.91 Y.upf
ATOMIC_POSITIONS angstrom
La 0.9232 0.8523 1.1439
La -0.8684 -0.8523 5.2539
La 6.1683 0.8523 2.9661
La 4.3768 -0.8523 7.0760
Tb 3.5458 2.8651 2.0550
Tb 1.7542 -2.8651 6.1650
Y 0.4292 2.4310 4.1100
Y 2.2208 -2.4310 0.0000
Y 4.4416 0.0000 0.0000
Y 2.6500 0.0000 4.1100
CELL_PARAMETERS angstrom
4.4416 -4.8620 0.0000
4.4416 4.8620 0.0000
-3.5832 0.0000 8.2199
```

=====

# 10
DFT (PBE) results for a relaxed Sb2AsRu crystal. Values from VASP.

The space group is R3m. The value obtained for the total magnetization is 0.00 Bohr magnetons per cell. Its volume is 21.46 A^3/atom. The value obtained for the raw formation energy is 92 meV per atom.

Cell and atoms, written as Quantum ESPRESSO input:
```
&SYSTEM
  ibrav = 0, nat = 12, ntyp = 3
/
ATOMIC_SPECIES
Sb 121.76 Sb.upf
As 74.92 As.upf
Ru 101.07 Ru.upf
ATOMIC_POSITIONS angstrom
Sb 0.0000 0.0000 0.0000
Sb 0.0000 0.0000 6.2747
Sb 0.0000 1.9164 17.9914
Sb 0.0000 1.9164 24.2661
Sb 1.6597 0.9582 8.9957
Sb 1.6597 0.9582 15.2704
As 0.0000 0.0000 12.5961
As 0.0000 1.9164 3.6004
As 1.6597 0.9582 21.5918
Ru 0.0000 0.0000 20.0006
Ru 0.0000 1.9164 11.0050
Ru 1.6597 0.9582 2.0092
CELL_PARAMETERS angstrom
3.3193 0.0000 0.0000
-1.6597 2.8746 0.0000
0.0000 0.0000 26.9871
```

=====

# 11
DFT (PBE) results for a relaxed Ga2Cu2Ni crystal. Values from VASP.

The space group is R-3m. The value obtained for the total magnetization is 0.00 Bohr magnetons per cell. Its volume is 12.87 A^3/atom. The calculation puts the polymorph energy (0 for the lowest one) at 0 meV per atom.

Cell and atoms, written as Quantum ESPRESSO input:
```
&SYSTEM
  ibrav = 0, nat = 15, ntyp = 3
/
ATOMIC_SPECIES
Ga 69.72 Ga.upf
Cu 63.55 Cu.upf
Ni 58.69 Ni.upf
ATOMIC_POSITIONS angstrom
Ga 0.0000 0.0000 1.3797
Ga 0.0000 0.0000 11.8364
Ga 0.0000 2.3711 7.4310
Ga 0.0000 2.3711 10.1905
Ga 2.0534 1.1855 3.0257
Ga 2.0534 1.1855 5.7851
Cu 0.0000 0.0000 3.9894
Cu 0.0000 0.0000 9.2267
Cu 0.0000 2.3711 4.8214
Cu 0.0000 2.3711 12.8001
Cu 2.0534 1.1855 0.4160
Cu 2.0534 1.1855 8.3948
Ni 0.0000 0.0000 6.6081
Ni 0.0000 2.3711 2.2027
Ni 2.0534 1.1855 11.0134
CELL_PARAMETERS angstrom
4.1068 0.0000 0.0000
-2.0534 3.5566 0.0000
0.0000 0.0000 13.2161
```

=====

# 12
DFT (PBE) results for a relaxed CaPu2NiN4 crystal. Values from VASP.

The space group is Cmcm. The value obtained for the total magnetization is 11.97 Bohr magnetons per cell. Its volume is 13.83 A^3/atom. The value obtained for the raw formation energy is -928 meV per atom.

Cell and atoms, written as Quantum ESPRESSO input:
```
&SYSTEM
  ibrav = 0, nat = 16, ntyp = 4
/
ATOMIC_SPECIES
Ca 40.08 Ca.upf
Pu 244.00 Pu.upf
Ni 58.69 Ni.upf
N 14.01 N.upf
ATOMIC_POSITIONS angstrom
Ca 1.7254 4.5498 8.5680
Ca 1.7254 -4.5498 2.8560
Pu 1.7254 1.4625 6.3759
Pu 1.7254 1.4625 10.7601
Pu 1.7254 -1.4625 0.6639
Pu 1.7254 -1.4625 5.0481
Ni 1.7254 3.6598 2.8560
Ni 1.7254 -3.6598 8.5680
N 0.0000 0.0000 0.0000
N 0.0000 0.0000 5.7120
N 1.7254 2.7212 1.1772
N 1.7254 2.7212 4.5348
N 1.7254 0.7976 8.5680
N 1.7254 -0.7976 2.8560
N 1.7254 -2.7212 6.8892
N 1.7254 -2.7212 10.2468
CELL_PARAMETERS angstrom
1.7254 -5.6122 0.0000
1.7254 5.6122 0.0000
0.0000 0.0000 11.4240
```